# 1
This record from Alexandria describes an optimized crystal structure of RbBa2ZnPt. The functional is GGA-PBE.

abc: 6.2950 6.2950 5.1797
angles: 90.00 90.00 90.00
Fractional coordinates of all 5 atoms:
1 Rb 0.0000 0.0000 0.0000
2 Ba 0.0000 0.5000 0.5000
3 Ba 0.5000 0.0000 0.5000
4 Zn 0.5000 0.5000 0.0000
5 Pt 0.5000 0.5000 0.5000

Summary:
formation enthalpy at 0 K: -0.25 eV per atom
theoretical density: 5.0 Mg/m³
symmetry: P4/mmm
VASP energy: -2.672 eV per atom

# 2
This record from Alexandria describes an optimized crystal structure of Ba2RePt. The functional is GGA-PBE.

abc: 5.3263 5.3263 5.3263
angles: 60.00 60.00 60.00
Fractional coordinates of all 4 atoms:
1 Ba 0.0000 0.0000 0.0000
2 Ba 0.2500 0.2500 0.2500
3 Re 0.5000 0.5000 0.5000
4 Pt 0.7500 0.7500 0.7500

Summary:
formation enthalpy at 0 K: 0.83 eV per atom
theoretical density: 10.2 Mg/m³
symmetry: F-43m
VASP energy: -4.749 eV per atom
polymorph energy (0 for the lowest one): 62.92 kJ/mol of atoms

# 3
This record from Alexandria describes an optimized crystal structure of BaRePt2. The functional is GGA-PBE.

abc: 4.8432 4.8432 4.8432
angles: 60.00 60.00 60.00
Fractional coordinates of all 4 atoms:
1 Ba 0.0000 0.0000 0.0000
2 Re 0.7500 0.7500 0.7500
3 Pt 0.2500 0.2500 0.2500
4 Pt 0.5000 0.5000 0.5000

Summary:
formation enthalpy at 0 K: 0.88 eV per atom
theoretical density: 14.8 Mg/m³
symmetry: F-43m
VASP energy: -5.731 eV per atom
polymorph energy (0 for the lowest one): 102.72 kJ/mol of atoms

# 4
This record from Alexandria describes an optimized crystal structure of BaRePt3. The functional is GGA-PBE.

abc: 4.9655 4.9655 4.9655
angles: 90.00 90.00 90.00
Fractional coordinates of all 5 atoms:
1 Ba 0.0000 0.0000 0.0000
2 Re 0.5000 0.5000 0.5000
3 Pt 0.0000 0.5000 0.5000
4 Pt 0.5000 0.0000 0.5000
5 Pt 0.5000 0.5000 0.0000

Summary:
formation enthalpy at 0 K: 0.14 eV per atom
theoretical density: 12.3 Mg/m³
symmetry: Pm-3m
VASP energy: -6.363 eV per atom
polymorph energy (0 for the lowest one): 0.00 kJ/mol of atoms

# 5
This record from Alexandria describes an optimized crystal structure of BaRe2Pt. The functional is GGA-PBE.

abc: 2.8584 2.8584 9.5551
angles: 90.00 90.00 90.00
Fractional coordinates of all 4 atoms:
1 Ba 0.0000 0.0000 0.0000
2 Re 0.5000 0.5000 0.2995
3 Re 0.5000 0.5000 0.7005
4 Pt 0.0000 0.0000 0.5000

Summary:
formation enthalpy at 0 K: 0.92 eV per atom
theoretical density: 15.0 Mg/m³
symmetry: P4/mmm
VASP energy: -7.290 eV per atom
polymorph energy (0 for the lowest one): 60.59 kJ/mol of atoms

# 6
This record from Alexandria describes an optimized crystal structure of Ba3RePt. The functional is GGA-PBE.

abc: 5.7716 5.7716 5.7716
angles: 90.00 90.00 90.00
Fractional coordinates of all 5 atoms:
1 Ba 0.0000 0.0000 0.5000
2 Ba 0.0000 0.5000 0.0000
3 Ba 0.5000 0.0000 0.0000
4 Re 0.0000 0.0000 0.0000
5 Pt 0.5000 0.5000 0.5000

Summary:
formation enthalpy at 0 K: 0.71 eV per atom
theoretical density: 6.9 Mg/m³
symmetry: Pm-3m
VASP energy: -4.146 eV per atom
polymorph energy (0 for the lowest one): 0.00 kJ/mol of atoms